Record 1
Below is Si2AgP after structural relaxation, with properties calculated at the GGA-PBE level.

Geometry as extended XYZ:
```
4
Lattice="4.7207 0.0000 0.0000 0.0000 3.7460 0.0000 0.0000 0.0000 3.7460" Properties=species:S:1:pos:R:3 pbc="T T T"
Si 0.0000 0.0000 0.0000
Si 0.0000 1.8730 1.8730
Ag 2.3603 1.8730 0.0000
P 2.3603 0.0000 1.8730
```

Properties
* SG: P4/mmm
* electronic total energy: -4.22 eV per atom
* crystal system: tetragonal

=====

Record 2
Below is SiAg3P after structural relaxation, with properties calculated at the GGA-PBE level.

Geometry as extended XYZ:
```
5
Lattice="-0.9702 3.1590 3.4408 -3.2308 -2.9919 1.8358 3.3734 -1.9568 2.7477" Properties=species:S:1:pos:R:3 pbc="T T T"
Ag -1.6154 -1.4959 0.9179
Ag 1.6867 -0.9784 1.3739
Ag -0.4851 1.5795 1.7204
P 0.0000 0.0000 0.0000
Si -0.4138 -0.8949 4.0122
```

Properties
* SG: Pm-3m
* electronic total energy: -3.23 eV per atom
* crystal system: cubic
* energy above the lowest structure with this stoichiometry: 0.0 meV/atom

=====

Record 3
Below is Si2AgP after structural relaxation, with properties calculated at the GGA-PBE level.

Geometry as extended XYZ:
```
4
Lattice="-4.2942 0.8405 -3.4012 0.5724 -0.0738 -5.5120 0.7863 -2.8394 4.6941" Properties=species:S:1:pos:R:3 pbc="T T T"
Ag -1.8933 0.3900 -4.5341
Si -0.0433 -1.3078 -2.1396
Si -3.6618 0.7543 -8.7695
P -2.9198 -0.7593 -2.1457
```

Properties
* SG: Imm2
* electronic total energy: -4.33 eV per atom
* crystal system: orthorhombic

=====

Record 4
Below is Si2AgP after structural relaxation, with properties calculated at the GGA-PBE level.

Geometry as extended XYZ:
```
4
Lattice="4.7032 0.0012 0.0000 0.8946 4.6173 0.0000 -2.7989 -2.3092 2.9922" Properties=species:S:1:pos:R:3 pbc="T T T"
Si 0.0000 0.0000 0.0000
Si 0.4473 2.3087 1.4961
P 2.3516 0.0006 1.4961
Ag 2.7989 2.3092 0.0000
```

Properties
* SG: I-4m2
* electronic total energy: -4.18 eV per atom
* crystal system: tetragonal

=====

Record 5
Below is Si2AgP after structural relaxation, with properties calculated at the GGA-PBE level.

Geometry as extended XYZ:
```
8
Lattice="5.7829 0.0000 0.0000 0.0000 5.7829 0.0000 2.8914 2.8914 4.9807" Properties=species:S:1:pos:R:3 pbc="T T T"
P 2.8914 5.7829 2.4903
P 2.8914 2.8914 0.0000
Si 4.3371 4.4700 3.7355
Si 1.5786 4.3371 1.2452
Si 7.2286 7.0957 3.7355
Si 4.2042 1.4457 1.2452
Ag 5.7829 2.8914 2.4903
Ag 0.0000 0.0000 0.0000
```

Properties
* SG: I-42d
* electronic total energy: -4.51 eV per atom
* crystal system: tetragonal

=====

Record 6
Below is Si3AgP after structural relaxation, with properties calculated at the GGA-PBE level.

Geometry as extended XYZ:
```
5
Lattice="4.5286 0.0000 0.0000 0.0000 4.5286 0.0000 0.0000 0.0000 4.5286" Properties=species:S:1:pos:R:3 pbc="T T T"
Ag 2.2643 2.2643 2.2643
Si 2.2643 0.0000 0.0000
Si 0.0000 2.2643 0.0000
Si 0.0000 0.0000 2.2643
P 0.0000 0.0000 0.0000
```

Properties
* SG: Pm-3m
* electronic total energy: -4.08 eV per atom
* crystal system: cubic
* energy above the lowest structure with this stoichiometry: 0.0 meV/atom

=====

Record 7
Below is Si2AgP after structural relaxation, with properties calculated at the GGA-PBE level.

Geometry as extended XYZ:
```
4
Lattice="-0.9188 -0.7340 -2.4357 4.1481 -2.1739 -0.9097 -1.7906 -4.2334 1.9512" Properties=species:S:1:pos:R:3 pbc="T T T"
P 1.1787 -3.2036 0.5208
Si 1.6147 -1.4539 -1.6727
Si 0.0000 0.0000 0.0000
Ag -1.3547 -2.4837 -0.2422
```

Properties
* SG: Pmmm
* electronic total energy: -4.27 eV per atom
* crystal system: orthorhombic

=====

Record 8
Below is Si2AgP after structural relaxation, with properties calculated at the GGA-PBE level.

Geometry as extended XYZ:
```
4
Lattice="2.8127 -0.0409 0.0000 -1.0287 2.6182 0.0000 0.0000 0.0000 8.7733" Properties=species:S:1:pos:R:3 pbc="T T T"
Si 0.8920 1.2886 2.0295
Si 0.0000 0.0000 8.7170
Ag 0.0000 0.0000 4.3303
P 0.8920 1.2886 6.8565
```

Properties
* SG: Cmm2
* electronic total energy: -4.26 eV per atom
* crystal system: orthorhombic

=====

Record 9
Below is Si2AgP after structural relaxation, with properties calculated at the GGA-PBE level.

Geometry as extended XYZ:
```
4
Lattice="2.8410 -0.0599 0.0000 -1.1572 2.5954 0.0000 0.0000 0.0000 8.7430" Properties=species:S:1:pos:R:3 pbc="T T T"
Si 0.0000 0.0000 4.6042
Si 0.0000 0.0000 8.5103
Ag 0.8419 1.2677 2.1858
P 0.8419 1.2677 6.5573
```

Properties
* SG: Cmmm
* electronic total energy: -4.26 eV per atom
* crystal system: orthorhombic

=====

Record 10
Below is Si2AgP after structural relaxation, with properties calculated at the GGA-PBE level.

Geometry as extended XYZ:
```
4
Lattice="-2.3300 1.3956 3.5770 -3.9738 -1.8613 0.9574 -0.4232 -2.6708 3.5860" Properties=species:S:1:pos:R:3 pbc="T T T"
P -5.0452 -2.3523 6.0903
Si 0.0000 0.0000 0.0000
Si -1.6817 -0.7841 2.0301
Ag -3.3635 -1.5682 4.0602
```

Properties
* SG: F-43m
* electronic total energy: -4.18 eV per atom
* crystal system: cubic

=====

Record 11
Below is Si2AgP after structural relaxation, with properties calculated at the GGA-PBE level.

Geometry as extended XYZ:
```
4
Lattice="4.8708 0.8024 0.0000 -0.8384 4.8647 0.0000 0.0000 0.0000 2.6653" Properties=species:S:1:pos:R:3 pbc="T T T"
Si 0.0000 0.0000 0.0000
Si 2.0162 2.8336 0.0000
Ag 2.4354 0.4012 1.3326
P -0.4192 2.4324 1.3326
```

Properties
* SG: Cmmm
* electronic total energy: -4.24 eV per atom
* crystal system: orthorhombic

=====

Record 12
Below is Si2AgP after structural relaxation, with properties calculated at the GGA-PBE level.

Geometry as extended XYZ:
```
4
Lattice="-1.9658 -0.8024 -2.1935 2.2584 -1.3851 -1.5172 -1.3249 -5.7747 3.2998" Properties=species:S:1:pos:R:3 pbc="T T T"
Si -0.7212 -3.1434 1.7962
Si -1.2661 -5.5187 3.1535
P -0.8474 -5.4248 0.6195
Ag -0.1849 -2.5374 -1.0304
```

Properties
* SG: P4/mmm
* electronic total energy: -4.32 eV per atom
* crystal system: tetragonal

=====

Record 13
Below is Si3AgP after structural relaxation, with properties calculated at the GGA-PBE level.

Geometry as extended XYZ:
```
5
Lattice="4.7829 0.0000 0.0000 0.0000 4.7829 0.0000 0.0000 0.0000 4.7829" Properties=species:S:1:pos:R:3 pbc="T T T"
Si 0.0000 2.3914 0.0000
Si 0.0000 0.0000 2.3914
Si 2.3914 0.0000 0.0000
Ag 0.0000 0.0000 0.0000
P 2.3914 2.3914 2.3914
```

Properties
* SG: Pm-3m
* electronic total energy: -3.62 eV per atom
* crystal system: cubic
* energy above the lowest structure with this stoichiometry: 460.6 meV/atom

=====

Record 14
Below is Si4AgP after structural relaxation, with properties calculated at the GGA-PBE level.

Geometry as extended XYZ:
```
6
Lattice="0.0000 3.6443 3.6443 3.6443 0.0000 3.6443 3.6443 3.6443 0.0000" Properties=species:S:1:pos:R:3 pbc="T T T"
Si 2.7334 4.5552 4.5552
Si 4.5552 4.5552 2.7334
Si 4.5552 2.7334 4.5552
Si 2.7334 2.7334 2.7334
P 0.0000 0.0000 0.0000
Ag 5.4664 5.4664 5.4664
```

Properties
* SG: F-43m
* electronic total energy: -4.32 eV per atom
* crystal system: cubic

=====

Record 15
Below is Si2AgP after structural relaxation, with properties calculated at the GGA-PBE level.

Geometry as extended XYZ:
```
4
Lattice="-0.7521 -3.3999 0.3876 2.3054 -0.6297 -1.0501 6.7316 -0.9137 5.0469" Properties=species:S:1:pos:R:3 pbc="T T T"
Ag 4.3619 -0.7406 1.9674
Si 8.2733 -1.3430 4.2720
Si 1.9830 -2.1164 1.1180
P 4.9168 -2.4286 4.0724
```

Properties
* SG: Pm
* electronic total energy: -4.47 eV per atom
* crystal system: monoclinic

=====

Record 16
Below is Si2AgP after structural relaxation, with properties calculated at the GGA-PBE level.

Geometry as extended XYZ:
```
4
Lattice="-1.8765 1.5427 -4.8081 -0.7298 -1.5757 -5.0994 -3.9560 -1.3960 -0.6286" Properties=species:S:1:pos:R:3 pbc="T T T"
Ag -4.9218 -1.0717 -7.9021
P -1.6406 -0.3572 -2.6340
Si -2.7548 -0.1329 -9.4229
Si -3.1327 -0.6146 -5.7527
```

Properties
* SG: C2/m
* electronic total energy: -4.33 eV per atom
* crystal system: monoclinic

=====

Record 17
Below is Si2AgP after structural relaxation, with properties calculated at the GGA-PBE level.

Geometry as extended XYZ:
```
4
Lattice="5.5750 0.0400 -0.0039 4.9413 2.5819 -0.0039 2.2379 0.5579 4.7477" Properties=species:S:1:pos:R:3 pbc="T T T"
Si 12.7055 3.1677 4.6596
Si 9.6758 2.4123 3.8910
Ag 6.2879 1.5677 2.3208
P 3.2163 0.8019 0.9781
```

Properties
* SG: Cm
* electronic total energy: -4.29 eV per atom
* crystal system: monoclinic

=====

Record 18
Below is Si2AgP after structural relaxation, with properties calculated at the GGA-PBE level.

Geometry as extended XYZ:
```
4
Lattice="-4.0504 -2.3649 1.4954 -0.5038 -0.6605 -2.4091 2.7617 -4.3420 0.6135" Properties=species:S:1:pos:R:3 pbc="T T T"
Si 1.0241 -2.6990 -1.4944
Si 2.3627 -4.8048 -1.1989
P -0.3318 -4.9344 -0.5990
Ag -1.4607 -2.4331 0.2988
```

Properties
* SG: Pmmm
* electronic total energy: -4.32 eV per atom
* crystal system: orthorhombic

=====

Record 19
Below is Si3Ag3Sn2P6 after structural relaxation, with properties calculated at the GGA-PBE level.

Geometry as extended XYZ:
```
28
Lattice="9.0592 0.0000 0.0000 -3.0197 8.5411 0.0000 -3.0197 -4.2706 7.3968" Properties=species:S:1:pos:R:3 pbc="T T T"
P 0.7349 4.2617 0.0000
P 3.7546 2.1397 3.7061
P 3.7855 5.3536 1.8605
P -2.2539 -0.0174 3.6907
P 3.7730 2.1134 0.0000
P 3.7730 -1.0567 1.8303
P -2.2539 3.2050 1.8303
P 0.7349 -2.1308 3.6907
P -2.2665 3.2139 5.5666
P 0.7658 1.0830 5.5364
P 0.7658 4.2531 3.7061
P 3.7855 -1.0656 5.5666
Ag -1.2007 0.8490 1.4705
Ag 4.8388 -3.4215 5.9263
Ag 4.8388 6.8431 0.0000
Ag 1.2007 1.6980 0.0000
Ag 1.2007 -0.8490 1.4705
Ag -4.8388 3.4215 5.9263
Si -1.5099 4.2706 3.6984
Si 4.5296 0.0000 3.6984
Si 1.5099 5.3382 1.8492
Si 4.5296 3.2029 1.8492
Si -1.5099 1.0676 5.5476
Si 1.5099 -1.0676 5.5476
Sn 1.2359 1.7478 3.0272
Sn -1.7839 -2.5228 4.3696
Sn -1.7839 5.0456 0.0000
Sn 5.3516 0.0000 0.0000
```

Properties
* SG: I-43m
* electronic total energy: -4.79 eV per atom
* crystal system: cubic

=====

Record 20
Below is VSiAg2P after structural relaxation, with properties calculated at the GGA-PBE level.

Geometry as extended XYZ:
```
5
Lattice="-3.8219 -2.3801 1.1571 2.2301 -3.9755 -0.8111 1.4106 -0.1122 4.4281" Properties=species:S:1:pos:R:3 pbc="T T T"
Ag -1.9110 -1.1900 0.5786
Ag 0.7053 -0.0561 2.2141
Si 0.0000 0.0000 0.0000
V 1.1151 -1.9878 -0.4056
P -0.0906 -3.2339 2.3871
```

Properties
* SG: P4/mmm
* electronic total energy: -4.22 eV per atom
* crystal system: tetragonal

=====

| no. | formation energy (no corrections) (eV/atom) | density of states at the Fermi level (states/eV per cell) |
| --- | --- | --- |
| 1 | 0.5600 | 1.14 |
| 2 | 0.6512 | 2.06 |
| 3 | 0.4476 | 1.24 |
| 4 | 0.5991 | 2.00 |
| 5 | 0.2684 | 0.75 |
| 6 | 0.8237 | 2.01 |
| 7 | 0.5117 | 1.13 |
| 8 | 0.5156 | 1.02 |
| 9 | 0.5209 | 1.30 |
| 10 | 0.6010 | 0.70 |
| 11 | 0.5349 | 2.45 |
| 12 | 0.4608 | 1.40 |
| 13 | 1.2843 | 3.29 |
| 14 | 0.6707 | 2.58 |
| 15 | 0.3070 | 1.56 |
| 16 | 0.4505 | 1.29 |
| 17 | 0.4913 | 1.33 |
| 18 | 0.4583 | 1.55 |
| 19 | -0.1260 | 2.10 |
| 20 | 0.9087 | 6.53 |